Record 1
A geometry-optimized Tb2Sm2DyTm structure, computed with PBE.

```
Tb2Sm2DyTm
1.0
6.640 0.000 0.000
0.000 17.605 0.000
0.000 0.000 3.367
Tb Sm Dy Tm
4 4 2 2
Cartesian
1.603 3.133 0.000
1.716 11.936 1.684
4.923 5.669 1.684
5.036 14.471 0.000
1.572 6.161 1.684
1.748 14.963 0.000
4.892 2.641 0.000
5.068 11.444 1.684
0.000 8.802 0.000
3.320 0.000 1.684
0.000 0.000 0.000
3.320 8.802 1.684
```

Properties
- DFT formation energy (eV per atom) = 0.265
- E_tot (eV/cell) = -52.36
- V (Å³/cell) = 393.6
- density of states at the Fermi level (states/eV/f.u.) = 9.15


Record 2
A geometry-optimized CaNbGe2O8 structure, computed with PBE.

```
CaNbGe2O8
1.0
-3.455 3.455 3.135
3.455 -3.455 3.135
3.455 3.455 -3.135
Ca Nb Ge O
1 1 2 8
Cartesian
0.000 0.000 0.000
0.000 3.455 1.567
3.455 0.000 1.567
0.000 0.000 3.135
2.241 0.000 0.283
4.668 0.000 0.283
3.455 2.045 -1.084
3.455 -1.214 2.852
0.000 1.409 2.051
3.455 1.214 2.852
2.045 3.455 1.084
1.409 0.000 4.219
```

Properties
- formation energy without anion corrections (eV per formula unit) = -22.97
- E_tot (eV/cell) = -83.95
- V (Å³/cell) = 149.6
- density of states at the Fermi level (states/eV/f.u.) = 8.57


Q: Among the records above, which one has the highest density of states at the Fermi level?
A: Tb2Sm2DyTm


Q: Which of these has the lowest density of states at the Fermi level?
A: CaNbGe2O8


Q: What is the E_tot in the second record?
A: -83.95 eV/cell